Arrangement 1

Here is crystalline BeIr3Rh at its relaxed geometry from Alexandria via LeMat-Bulk. Energies are from PBE. Values from VASP.

Calculated volume in Å³ per atom: 13.9
Total moment in μB/cell: 0.00

Cell and atoms, written as Quantum ESPRESSO input:
```
&SYSTEM
  ibrav = 0, nat = 5, ntyp = 3
/
ATOMIC_SPECIES
Ir 192.22 Ir.upf
Be 9.01 Be.upf
Rh 102.91 Rh.upf
ATOMIC_POSITIONS angstrom
Ir 0.000 0.000 2.056
Ir 2.056 0.000 0.000
Ir 0.000 2.056 0.000
Be 0.000 0.000 0.000
Rh 2.056 2.056 2.056
CELL_PARAMETERS angstrom
4.112 0.000 0.000
0.000 4.112 0.000
0.000 0.000 4.112
```

Arrangement 2

Here is crystalline BeIr3Rh at its relaxed geometry from Alexandria via LeMat-Bulk. Energies are from PBE. Values from VASP.

Calculated volume in Å³ per atom: 20.6
Total moment in μB/cell: 0.00

Cell and atoms, written as Quantum ESPRESSO input:
```
&SYSTEM
  ibrav = 0, nat = 5, ntyp = 3
/
ATOMIC_SPECIES
Ir 192.22 Ir.upf
Rh 102.91 Rh.upf
Be 9.01 Be.upf
ATOMIC_POSITIONS angstrom
Ir 0.000 2.345 0.000
Ir 2.345 0.000 0.000
Ir 0.000 0.000 2.345
Rh 0.000 0.000 0.000
Be 2.345 2.345 2.345
CELL_PARAMETERS angstrom
4.690 0.000 0.000
0.000 4.690 0.000
0.000 0.000 4.690
```

Most stable: arrangement 1 (next structure +169.6 kJ/mol of atoms)

Arrangement 1

Here is crystalline B2C at its relaxed geometry from Alexandria via LeMat-Bulk. Energies are from PBE. Values from VASP.

Calculated volume in Å³ per atom: 7.5
Total moment in μB/cell: 0.00

Cell and atoms, written as Quantum ESPRESSO input:
```
&SYSTEM
  ibrav = 0, nat = 12, ntyp = 2
/
ATOMIC_SPECIES
C 12.01 C.upf
B 10.81 B.upf
ATOMIC_POSITIONS angstrom
C 1.364 0.000 5.064
C 1.364 1.364 9.882
C 0.000 1.364 6.977
C 1.364 1.364 2.159
B 1.364 0.000 9.185
B 0.000 0.000 7.632
B 1.364 0.000 1.301
B 1.364 1.364 6.020
B 0.000 0.000 4.409
B 0.000 1.364 10.740
B 0.000 0.000 0.000
B 0.000 1.364 2.856
CELL_PARAMETERS angstrom
2.728 0.000 0.000
0.000 2.728 0.000
0.000 0.000 12.041
```

Arrangement 2

Here is crystalline B2C at its relaxed geometry from Alexandria via LeMat-Bulk. Energies are from PBE. Values from VASP.

Calculated volume in Å³ per atom: 6.8
Total moment in μB/cell: 0.00

Cell and atoms, written as Quantum ESPRESSO input:
```
&SYSTEM
  ibrav = 0, nat = 12, ntyp = 2
/
ATOMIC_SPECIES
B 10.81 B.upf
C 12.01 C.upf
ATOMIC_POSITIONS angstrom
B 0.000 8.351 0.257
B 0.000 12.301 0.212
B 0.000 1.330 2.125
B 0.000 10.651 1.008
B 0.000 3.594 2.923
B 0.000 12.915 1.806
B 0.000 1.943 3.719
B 0.000 5.894 3.674
C 0.000 8.331 4.244
C 0.000 4.427 4.411
C 0.000 9.818 -0.480
C 0.000 5.913 -0.313
CELL_PARAMETERS angstrom
1.172 6.586 -0.611
-1.172 6.586 -0.611
0.000 1.072 5.152
```

Most stable: arrangement 1 (next structure +2.2 kJ/mol of atoms)

Arrangement 1

Here is crystalline Ba2SrAu at its relaxed geometry from Alexandria via LeMat-Bulk. Energies are from PBE. Values from VASP.

Calculated volume in Å³ per atom: 44.5
Total moment in μB/cell: 0.00

Cell and atoms, written as Quantum ESPRESSO input:
```
&SYSTEM
  ibrav = 0, nat = 4, ntyp = 3
/
ATOMIC_SPECIES
Ba 137.33 Ba.upf
Sr 87.62 Sr.upf
Au 196.97 Au.upf
ATOMIC_POSITIONS angstrom
Ba 0.000 0.000 9.891
Ba 2.022 2.054 2.788
Sr 0.000 0.000 6.203
Au 2.022 2.054 7.919
CELL_PARAMETERS angstrom
4.072 0.035 0.000
-0.029 4.073 0.000
0.000 0.000 10.721
```

Arrangement 2

Here is crystalline Ba2SrAu at its relaxed geometry from Alexandria via LeMat-Bulk. Energies are from PBE. Values from VASP.

Calculated volume in Å³ per atom: 40.9
Total moment in μB/cell: 0.00

Cell and atoms, written as Quantum ESPRESSO input:
```
&SYSTEM
  ibrav = 0, nat = 4, ntyp = 3
/
ATOMIC_SPECIES
Sr 87.62 Sr.upf
Ba 137.33 Ba.upf
Au 196.97 Au.upf
ATOMIC_POSITIONS angstrom
Sr 1.632 3.147 1.836
Ba 0.000 0.000 0.000
Ba 5.177 3.160 0.000
Au 3.545 0.013 1.836
CELL_PARAMETERS angstrom
7.090 0.026 0.000
3.264 6.294 0.000
-5.177 -3.160 3.672
```

Most stable: arrangement 1 (next structure +27.4 kJ/mol of atoms)

Arrangement 1

Here is crystalline BeC at its relaxed geometry from Alexandria via LeMat-Bulk. Energies are from PBE. Values from VASP.

Calculated volume in Å³ per atom: 7.8
Total moment in μB/cell: 0.00

Cell and atoms, written as Quantum ESPRESSO input:
```
&SYSTEM
  ibrav = 0, nat = 6, ntyp = 2
/
ATOMIC_SPECIES
C 12.01 C.upf
Be 9.01 Be.upf
ATOMIC_POSITIONS angstrom
C 0.000 6.503 4.753
C 0.000 5.950 3.362
C 0.000 6.483 2.093
Be 0.000 4.625 4.519
Be 0.000 0.542 0.354
Be 0.000 2.349 2.161
CELL_PARAMETERS angstrom
1.460 2.970 0.017
-1.460 2.970 0.017
0.000 2.413 5.411
```

Arrangement 2

Here is crystalline BeC at its relaxed geometry from Alexandria via LeMat-Bulk. Energies are from PBE. Values from VASP.

Calculated volume in Å³ per atom: 7.1
Total moment in μB/cell: 0.00

Cell and atoms, written as Quantum ESPRESSO input:
```
&SYSTEM
  ibrav = 0, nat = 4, ntyp = 2
/
ATOMIC_SPECIES
Be 9.01 Be.upf
C 12.01 C.upf
ATOMIC_POSITIONS angstrom
Be 0.000 0.000 0.000
Be 0.294 1.833 0.870
C -0.029 2.140 2.749
C 1.254 0.260 1.445
CELL_PARAMETERS angstrom
-2.046 -0.563 1.877
2.684 -0.703 0.576
0.587 3.667 1.740
```

Most stable: arrangement 1 (next structure +79.5 kJ/mol of atoms)

Arrangement 1

Here is crystalline CrTc2Ru at its relaxed geometry from Alexandria via LeMat-Bulk. Energies are from PBE. Values from VASP.

Calculated volume in Å³ per atom: 13.8
Total moment in μB/cell: 0.00

Cell and atoms, written as Quantum ESPRESSO input:
```
&SYSTEM
  ibrav = 0, nat = 4, ntyp = 3
/
ATOMIC_SPECIES
Cr 52.00 Cr.upf
Tc 98.00 Tc.upf
Ru 101.07 Ru.upf
ATOMIC_POSITIONS angstrom
Cr -0.512 -6.334 1.777
Tc -2.043 -25.263 7.089
Tc -1.030 -12.739 3.575
Ru -1.537 -19.001 5.332
CELL_PARAMETERS angstrom
-0.338 -8.881 0.916
0.455 -8.244 3.413
-2.165 -8.210 2.781
```

Arrangement 2

Here is crystalline CrTc2Ru at its relaxed geometry from Alexandria via LeMat-Bulk. Energies are from PBE. Values from VASP.

Calculated volume in Å³ per atom: 14.2
Total moment in μB/cell: 2.85

Cell and atoms, written as Quantum ESPRESSO input:
```
&SYSTEM
  ibrav = 0, nat = 4, ntyp = 3
/
ATOMIC_SPECIES
Tc 98.00 Tc.upf
Cr 52.00 Cr.upf
Ru 101.07 Ru.upf
ATOMIC_POSITIONS angstrom
Tc 0.000 0.000 0.000
Tc 2.157 1.245 0.881
Cr 4.314 2.491 1.761
Ru 6.471 3.736 2.642
CELL_PARAMETERS angstrom
4.314 0.000 0.000
2.157 3.736 0.000
2.157 1.245 3.522
```

Most stable: arrangement 1 (next structure +9.3 kJ/mol of atoms)

Arrangement 1

Here is crystalline PPt2Pb at its relaxed geometry from Alexandria via LeMat-Bulk. Energies are from PBE. Values from VASP.

Calculated volume in Å³ per atom: 19.9
Total moment in μB/cell: 0.00

Cell and atoms, written as Quantum ESPRESSO input:
```
&SYSTEM
  ibrav = 0, nat = 4, ntyp = 3
/
ATOMIC_SPECIES
Pb 207.20 Pb.upf
Pt 195.08 Pt.upf
P 30.97 P.upf
ATOMIC_POSITIONS angstrom
Pb 0.000 0.000 2.814
Pt 2.661 0.000 0.000
Pt 0.000 2.661 0.000
P 0.000 0.000 0.000
CELL_PARAMETERS angstrom
-2.661 2.661 2.814
2.661 -2.661 2.814
2.661 2.661 -2.814
```

Arrangement 2

Here is crystalline PPt2Pb at its relaxed geometry from Alexandria via LeMat-Bulk. Energies are from PBE. Values from VASP.

Calculated volume in Å³ per atom: 22.5
Total moment in μB/cell: 0.00

Cell and atoms, written as Quantum ESPRESSO input:
```
&SYSTEM
  ibrav = 0, nat = 8, ntyp = 3
/
ATOMIC_SPECIES
Pb 207.20 Pb.upf
Pt 195.08 Pt.upf
P 30.97 P.upf
ATOMIC_POSITIONS angstrom
Pb -0.092 6.396 1.845
Pb 0.000 0.000 0.000
Pt -0.109 3.882 0.610
Pt -1.913 3.036 2.769
Pt -1.576 8.870 4.516
Pt -0.208 6.273 4.641
P -1.811 4.635 4.422
P -2.141 2.806 0.489
CELL_PARAMETERS angstrom
-0.422 4.567 -2.088
-3.860 1.045 3.066
2.379 5.419 5.290
```

Most stable: arrangement 2 (next structure +42.1 kJ/mol of atoms)